# 1
## ZnMo3Br (GGA-PBE)

Data for crystalline ZnMo3Br at its relaxed geometry.

a = 4.597 Å, b = 4.597 Å, c = 4.597 Å
α = 90.00°, β = 90.00°, γ = 90.00°
Sites, in units of the cell vectors:
Mo (0.000, 0.500, 0.000)
Mo (0.000, 0.000, 0.500)
Mo (0.500, 0.000, 0.000)
Br (0.000, 0.000, 0.000)
Zn (0.500, 0.500, 0.500)



# 2
## ZnMo2Br (GGA-PBE)

Data for crystalline ZnMo2Br at its relaxed geometry.

a = 5.029 Å, b = 5.029 Å, c = 2.923 Å
α = 90.00°, β = 90.00°, γ = 115.34°
Sites, in units of the cell vectors:
Br (0.000, 0.500, 0.500)
Zn (0.500, 0.000, 0.500)
Mo (0.000, 0.000, 0.000)
Mo (0.500, 0.500, 0.000)



# 3
## ZnMo2Br (GGA-PBE)

Data for crystalline ZnMo2Br at its relaxed geometry.

a = 4.657 Å, b = 3.332 Å, c = 5.217 Å
α = 98.23°, β = 90.00°, γ = 90.00°
Sites, in units of the cell vectors:
Zn (0.500, 0.250, 0.250)
Mo (0.000, 0.563, 0.419)
Mo (0.000, 0.937, 0.081)
Br (0.500, 0.750, 0.750)



# 4
## Zn2MoBr8 (GGA-PBE)

Data for crystalline Zn2MoBr8 at its relaxed geometry.

a = 6.394 Å, b = 8.494 Å, c = 8.494 Å
α = 55.78°, β = 89.44°, γ = 89.44°
Each line ends with the local moment (μB).
Sites, in units of the cell vectors:
Mo (0.000, 0.000, 0.000)  1.77
Br (0.242, 0.292, 0.840)  0.00
Br (0.758, 0.708, 0.160)  0.00
Br (0.793, 0.147, 0.147)  -0.01
Br (0.675, 0.689, 0.689)  -0.01
Br (0.325, 0.311, 0.311)  -0.01
Br (0.758, 0.160, 0.708)  0.00
Br (0.242, 0.840, 0.292)  0.00
Br (0.207, 0.853, 0.853)  -0.01
Zn (0.401, 0.160, 0.160)  0.02
Zn (0.599, 0.840, 0.840)  0.02



# 5
## ZnMo2Br (GGA-PBE)

Data for crystalline ZnMo2Br at its relaxed geometry.

a = 3.152 Å, b = 3.295 Å, c = 7.962 Å
α = 87.31°, β = 90.00°, γ = 90.00°
Sites, in units of the cell vectors:
Br (0.500, 0.813, 0.796)
Mo (0.000, 0.768, 0.058)
Mo (0.500, 0.221, 0.225)
Zn (0.000, 0.698, 0.421)



# 6
## ZnMo2Br (GGA-PBE)

Data for crystalline ZnMo2Br at its relaxed geometry.

a = 4.642 Å, b = 4.642 Å, c = 2.951 Å
α = 90.00°, β = 90.00°, γ = 90.00°
Sites, in units of the cell vectors:
Mo (0.500, 0.500, 0.000)
Mo (0.000, 0.000, 0.000)
Zn (0.500, 0.000, 0.500)
Br (0.000, 0.500, 0.500)



# 7
## ZnMo2Br (GGA-PBE)

Data for crystalline ZnMo2Br at its relaxed geometry.

a = 4.645 Å, b = 3.838 Å, c = 3.838 Å
α = 90.00°, β = 90.00°, γ = 90.00°
Sites, in units of the cell vectors:
Br (0.500, 0.000, 0.500)
Mo (0.000, 0.500, 0.500)
Mo (0.000, 0.000, 0.000)
Zn (0.500, 0.500, 0.000)



# 8
## ZnMo2Br (GGA-PBE)

Data for crystalline ZnMo2Br at its relaxed geometry.

a = 3.191 Å, b = 3.191 Å, c = 7.801 Å
α = 90.00°, β = 90.00°, γ = 90.00°
Sites, in units of the cell vectors:
Mo (0.500, 0.500, 0.222)
Mo (0.000, 0.000, 0.048)
Zn (0.000, 0.000, 0.425)
Br (0.500, 0.500, 0.805)



| no. | calculated total energy (eV per atom) | ρ (g/cm3) | ΔE_f (raw) (eV/atom) |
| --- | --- | --- | --- |
| 1 | -5.54 | 7.40 | 1.551 |
| 2 | -5.23 | 8.38 | 0.919 |
| 3 | -5.61 | 6.99 | 0.543 |
| 4 | -3.06 | 3.77 | -0.632 |
| 5 | -5.94 | 6.78 | 0.210 |
| 6 | -5.31 | 8.80 | 0.840 |
| 7 | -5.19 | 8.18 | 0.961 |
| 8 | -5.82 | 7.05 | 0.327 |